A relaxed structure of ReTcBr2, computed with PBE.

Cell and atoms, written as CIF:
```
data_ReTcBr2
_space_group_name_H-M_alt 'I -4 2 d'
_space_group_IT_number 122
_space_group_name_Hall 'I -4 2bw'
_cell_length_a 5.596
_cell_length_b 5.596
_cell_length_c 11.272
_cell_angle_alpha 90.00
_cell_angle_beta 90.00
_cell_angle_gamma 90.00
loop_
_atom_site_label
_atom_site_type_symbol
_atom_site_fract_x
_atom_site_fract_y
_atom_site_fract_z
Re1 Re 0.000 0.000 0.000
Tc1 Tc 0.000 0.000 0.500
Br1 Br 0.249 0.250 0.125
```

Calculated values
Polymorph energy (0 for the lowest one): 130.72 kJ per mole of atoms

A relaxed structure of Sr2TmScSe4, computed with PBE.

Cell and atoms, written as CIF:
```
data_Sr2TmScSe4
_space_group_name_H-M_alt 'P 1 2/m 1'
_space_group_IT_number 10
_space_group_name_Hall '-P 2y'
_cell_length_a 7.151
_cell_length_b 4.140
_cell_length_c 7.359
_cell_angle_alpha 90.00
_cell_angle_beta 108.99
_cell_angle_gamma 90.00
loop_
_atom_site_label
_atom_site_type_symbol
_atom_site_fract_x
_atom_site_fract_y
_atom_site_fract_z
Sr1 Sr 0.000 0.000 0.000
Sr2 Sr 0.500 0.500 0.000
Tm1 Tm 0.000 0.500 0.500
Sc1 Sc 0.500 0.000 0.500
Se1 Se 0.245 0.000 0.723
Se2 Se 0.264 0.500 0.280
```

Calculated values
VASP energy: -5.3191 eV per atom

A relaxed structure of PrHo2Pb, computed with PBE.

Cell and atoms, written as CIF:
```
data_PrHo2Pb
_space_group_name_H-M_alt 'R -3 m'
_space_group_IT_number 166
_space_group_name_Hall '-R 3 2"'
_cell_length_a 3.5607
_cell_length_b 3.5607
_cell_length_c 36.3039
_cell_angle_alpha 90.00
_cell_angle_beta 90.00
_cell_angle_gamma 120.00
loop_
_atom_site_label
_atom_site_type_symbol
_atom_site_fract_x
_atom_site_fract_y
_atom_site_fract_z
Pr1 Pr 0.0000 0.0000 0.0000
Ho1 Ho 0.0000 0.0000 0.4130
Pb1 Pb 0.0000 0.0000 0.5000
```

Calculated values
E_form: 0.054 eV/atom
Polymorph energy (0 for the lowest one): 35.21 kJ per mole of atoms

A relaxed structure of Pr4Pa3Se8, computed with PBE.

Cell and atoms, written as CIF:
```
data_Pr4Pa3Se8
_space_group_name_H-M_alt 'R -3 m'
_space_group_IT_number 166
_space_group_name_Hall '-R 3 2"'
_cell_length_a 7.9340
_cell_length_b 7.9340
_cell_length_c 24.3562
_cell_angle_alpha 90.00
_cell_angle_beta 90.00
_cell_angle_gamma 120.00
loop_
_atom_site_label
_atom_site_type_symbol
_atom_site_fract_x
_atom_site_fract_y
_atom_site_fract_z
Pr1 Pr 0.0000 0.0000 0.0000
Pr2 Pr 0.0000 0.0000 0.1472
Pr3 Pr 0.0000 0.0000 0.5000
Pa1 Pa 0.0000 0.5000 0.0000
Se1 Se 0.0000 0.0000 0.2630
Se2 Se 0.0099 0.5049 0.2545
```

Calculated values
VASP energy: -6.3468 eV per atom